No. 1
## LaPr2Th2 (PBE)

Data for a geometry-optimized LaPr2Th2 structure.

## Properties
* crystal system: tetragonal
* symmetry: I4/mmm, No. 139

Unit cell a=3.6308 b=3.6308 c=13.3993 alpha=97.79 beta=97.79 gamma=90.00
Positions (direct):
La  0.0000  0.0000  0.0000
Pr  0.6068  0.6068  0.2136
Th  0.2041  0.2041  0.4081
Th  0.7959  0.7959  0.5919
Pr  0.3932  0.3932  0.7864

No. 2
## LaPr6Th2 (PBE)

Data for a geometry-optimized LaPr6Th2 structure.

## Properties
* crystal system: hexagonal
* symmetry: P-6m2, No. 187

Unit cell a=3.6543 b=3.6543 c=27.7367 alpha=90.00 beta=90.00 gamma=120.00
Positions (direct):
Pr  0.6667  0.3333  0.8883
Pr  0.3333  0.6667  0.7763
Pr  0.6667  0.3333  0.1117
Pr  0.3333  0.6667  0.2237
Pr  0.3333  0.6667  0.4369
Pr  0.3333  0.6667  0.5631
La  0.3333  0.6667  0.0000
Th  0.6667  0.3333  0.3313
Th  0.6667  0.3333  0.6687

No. 3
## La7Pr4Th (PBE)

Data for a geometry-optimized La7Pr4Th structure.

## Properties
* crystal system: trigonal
* symmetry: P-3m1, No. 164

Unit cell a=3.6995 b=3.6995 c=36.5996 alpha=90.00 beta=90.00 gamma=120.00
Positions (direct):
La  0.3333  0.6667  0.4213
La  0.0000  0.0000  0.7486
La  0.6667  0.3333  0.8324
La  0.6667  0.3333  0.5787
La  0.0000  0.0000  0.2514
Pr  0.6667  0.3333  0.0834
Pr  0.6667  0.3333  0.3343
Pr  0.3333  0.6667  0.6657
Pr  0.3333  0.6667  0.9166
La  0.3333  0.6667  0.1676
La  0.0000  0.0000  0.0000
Th  0.0000  0.0000  0.5000

No. 4
## La8Pr3Th (PBE)

Data for a geometry-optimized La8Pr3Th structure.

## Properties
* crystal system: orthorhombic
* symmetry: I222, No. 23

Unit cell a=8.9108 b=8.9108 c=8.9108 alpha=96.77 beta=135.47 gamma=99.75
Positions (direct):
Pr  0.0000  0.5000  0.5000
La  0.8401  0.5928  0.7524
Pr  0.5000  0.7795  0.2795
La  0.0369  0.2657  0.7729
La  0.9631  0.7360  0.2288
La  0.1596  0.4072  0.2473
Th  0.0000  0.0000  0.0000
La  0.4928  0.2640  0.2271
Pr  0.5000  0.2205  0.7205
La  0.1599  0.9122  0.7527
La  0.5072  0.7343  0.7712
La  0.8404  0.0878  0.2476

No. 5
## La4Pr8Th (PBE)

Data for a geometry-optimized La4Pr8Th structure.

## Properties
* crystal system: trigonal
* symmetry: R-3m, No. 166

Unit cell a=7.9609 b=7.9609 c=7.9609 alpha=97.31 beta=97.31 gamma=97.31
Positions (direct):
Th  0.5000  0.5000  0.5000
Pr  0.3308  0.8311  0.8311
Pr  0.1689  0.6692  0.1689
Pr  0.2386  0.2386  0.2386
Pr  0.8311  0.3308  0.8311
La  0.5000  0.0000  0.5000
Pr  0.1689  0.1689  0.6692
La  0.0000  0.5000  0.5000
La  0.5000  0.5000  0.0000
La  0.0000  0.0000  0.0000
Pr  0.7614  0.7614  0.7614
Pr  0.8311  0.8311  0.3308
Pr  0.6692  0.1689  0.1689

No. 6
## La2PrTh3 (PBE)

Data for a geometry-optimized La2PrTh3 structure.

## Properties
* crystal system: orthorhombic
* symmetry: Cmcm, No. 63

Unit cell a=6.8375 b=11.6008 c=7.7904 alpha=138.12 beta=90.00 gamma=90.00
Positions (direct):
Pr  0.7500  0.7701  0.0000
La  0.2500  0.5634  0.6663
Th  0.5000  0.5000  0.0000
Th  0.0000  0.1674  0.3348
La  0.7500  0.1029  0.6663
Th  0.0000  0.8326  0.6652
Th  0.5000  0.1674  0.3348
Th  0.5000  0.8326  0.6652
Pr  0.2500  0.2299  0.0000
Th  0.0000  0.5000  0.0000
La  0.2500  0.8971  0.3337
La  0.7500  0.4366  0.3337

Number 1: density of states at the Fermi level 7.9 states/eV/cell, DFT formation energy 30 meV per atom. Number 2: density of states at the Fermi level 17.0 states/eV/cell, DFT formation energy 79 meV per atom. Number 3: density of states at the Fermi level 22.5 states/eV/cell, DFT formation energy 15 meV per atom. Number 4: density of states at the Fermi level 21.2 states/eV/cell, DFT formation energy 283 meV per atom. Number 5: density of states at the Fermi level 23.0 states/eV/cell, DFT formation energy 360 meV per atom. Number 6: density of states at the Fermi level 18.1 states/eV/cell, DFT formation energy 195 meV per atom.